DFT (PBE) results for crystalline Ni2AsPb at its relaxed geometry.

Output
- Space group: No. 123
- Energy of formation from the pure elements: 94 meV/atom

```
data_Ni2AsPb
_cell_length_a 3.129
_cell_length_b 3.129
_cell_length_c 6.786
_cell_angle_alpha 90.00
_cell_angle_beta 90.00
_cell_angle_gamma 90.00
_space_group_name_H-M_alt 'P 1'
_space_group_IT_number 1
loop_
_space_group_symop_operation_xyz
'x,y,z'
loop_
_atom_site_label
_atom_site_type_symbol
_atom_site_fract_x
_atom_site_fract_y
_atom_site_fract_z
_atom_site_occupancy
Ni1 Ni 0.000 0.000 0.186 1
Ni2 Ni 0.000 0.000 0.814 1
As1 As 0.500 0.500 0.000 1
Pb1 Pb 0.500 0.500 0.500 1
```